! PBE-GGA Ta3HN, relaxed; values from VASP
&SYSTEM
  ibrav = 0, nat = 5, ntyp = 3
/
ATOMIC_SPECIES
H 1.01 H.upf
N 14.01 N.upf
Ta 180.95 Ta.upf
CELL_PARAMETERS angstrom
4.1858 0.0000 0.0000
0.0000 4.1858 0.0000
0.0000 0.0000 4.1858
ATOMIC_POSITIONS angstrom
H 2.0929 2.0929 2.0929
N 0.0000 0.0000 0.0000
Ta 0.0000 2.0929 0.0000
Ta 0.0000 0.0000 2.0929
Ta 2.0929 0.0000 0.0000
! Space group: Pm-3m
! Polymorph energy (0 for the lowest one), kJ/mol of atoms: 89.23



! PBE-GGA Sc2Co3Os, relaxed; values from VASP
&SYSTEM
  ibrav = 0, nat = 6, ntyp = 3
/
ATOMIC_SPECIES
Os 190.23 Os.upf
Sc 44.96 Sc.upf
Co 58.93 Co.upf
CELL_PARAMETERS angstrom
4.3744 -0.1333 -2.3046
-2.7804 4.0856 -0.2050
-0.1912 0.1180 4.9374
ATOMIC_POSITIONS angstrom
Os 0.0000 0.0000 0.0000
Sc 2.2123 1.4454 -1.1917
Sc -0.8095 2.6248 3.6194
Co -0.0956 0.0590 2.4687
Co 0.7014 2.0351 1.2138
Co 2.0916 -0.0077 1.3164
! Space group: R-3m



! PBE-GGA UTaGa2, relaxed; values from VASP
&SYSTEM
  ibrav = 0, nat = 4, ntyp = 3
/
ATOMIC_SPECIES
Ga 69.72 Ga.upf
Ta 180.95 Ta.upf
U 238.03 U.upf
CELL_PARAMETERS angstrom
-0.7612 2.0754 -1.8904
-2.7426 0.9661 -0.0728
1.2878 8.5324 6.6114
ATOMIC_POSITIONS angstrom
Ga -2.8110 5.1625 0.0865
Ta -1.1080 5.7870 2.3241
U 0.0000 0.0000 0.0000
Ga 0.5950 6.4115 4.5617
! Space group: R-3m



! PBE-GGA NbSiOs, relaxed; values from VASP
&SYSTEM
  ibrav = 0, nat = 18, ntyp = 3
/
ATOMIC_SPECIES
Nb 92.91 Nb.upf
Os 190.23 Os.upf
Si 28.09 Si.upf
CELL_PARAMETERS angstrom
3.7809 0.0000 0.0000
0.0000 6.4142 0.0000
0.0000 0.0000 11.2224
ATOMIC_POSITIONS angstrom
Nb 0.0000 1.5398 10.7963
Os 1.8904 3.6457 6.9461
Si 0.0000 2.8357 8.4168
Si 1.8904 6.0464 10.1181
Nb 0.0000 4.8744 0.4261
Os 1.8904 5.1230 2.8056
Nb 0.0000 5.4560 8.4168
Si 1.8904 0.3678 1.1044
Si 1.8904 6.0464 6.7156
Nb 0.0000 1.5398 6.0373
Os 1.8904 3.6457 9.8875
Nb 0.0000 0.9582 2.8056
Os 1.8904 2.7685 4.2763
Si 0.0000 3.5785 2.8056
Os 1.8904 1.2912 8.4168
Nb 0.0000 4.8744 5.1851
Os 1.8904 2.7685 1.3349
Si 1.8904 0.3678 4.5069
! Space group: Pmma
! Formation energy without anion corrections, eV/atom: -0.46



! PBE-GGA Zn2PbO, relaxed; values from VASP
&SYSTEM
  ibrav = 0, nat = 4, ntyp = 3
/
ATOMIC_SPECIES
Pb 207.20 Pb.upf
Zn 65.41 Zn.upf
O 16.00 O.upf
CELL_PARAMETERS angstrom
-2.2887 -3.1237 2.6213
-2.9539 1.4517 3.3217
-4.6067 -0.5857 -0.5491
ATOMIC_POSITIONS angstrom
Pb -4.9246 -1.1289 2.6970
Zn -2.4623 -0.5644 1.3485
Zn -7.3870 -1.6933 4.0455
O 0.0000 0.0000 0.0000
! Space group: Fm-3m
! Polymorph energy (0 for the lowest one), kJ/mol of atoms: 76.04
! Formation energy without anion corrections, eV/atom: 0.36



! PBE-GGA Rb2PbN2, relaxed; values from VASP
&SYSTEM
  ibrav = 0, nat = 10, ntyp = 3
/
ATOMIC_SPECIES
Rb 85.47 Rb.upf
Pb 207.20 Pb.upf
N 14.01 N.upf
CELL_PARAMETERS angstrom
-4.1493 1.4907 5.5555
4.7406 -2.9935 4.3438
2.2490 4.3178 0.5212
ATOMIC_POSITIONS angstrom
Rb 3.5844 0.4343 3.9334
Pb 0.2956 -0.7514 4.9497
Rb 2.4426 0.5906 7.5659
N 0.6510 -0.6295 2.4062
Rb -0.7441 2.3807 6.4871
Pb 0.0000 0.0000 0.0000
Rb 0.3977 2.2244 2.8546
N 2.5516 -1.9575 5.2071
N -1.9603 0.4547 4.6923
N -0.0597 -0.8733 7.4931
! Space group: P4/mbm
! Polymorph energy (0 for the lowest one), kJ/mol of atoms: 86.58
! Formation energy without anion corrections, eV/atom: 0.99



Number 1: calculated total energy -9.02 eV/atom, DOS at the Fermi energy 5.6 states/eV/f.u.. Number 2: calculated total energy -7.89 eV/atom, DOS at the Fermi energy 6.9 states/eV/f.u.. Number 3: calculated total energy -7.06 eV/atom, DOS at the Fermi energy 8.4 states/eV/f.u.. Number 4: calculated total energy -9.37 eV/atom, DOS at the Fermi energy 2.1 states/eV/f.u.. Number 5: calculated total energy -2.45 eV/atom, DOS at the Fermi energy 1.5 states/eV/f.u.. Number 6: calculated total energy -3.47 eV/atom, DOS at the Fermi energy 1.0 states/eV/f.u..